Record 1
Below is crystalline K4La3TbTe8 at its relaxed geometry, with properties calculated at the PBE-GGA level.

Computed properties:
V ... 38.773 Å³/atom
Calculated density ... 4.69 g cm⁻³
Energy ... -72.5 eV for the cell shown
Space group ... No. 166
Uncorrected formation energy ... -1.472 eV per atom

Lattice parameters (Å, degrees): 9.328 9.839 9.329 118.32 120.00 90.00
Fractional positions:
K  0.500  0.000  0.000
K  0.500  0.000  0.500
K  0.000  0.000  0.000
K  0.000  0.000  0.500
La  0.500  0.500  0.000
La  0.500  0.500  0.500
La  0.000  0.500  0.500
Tb  0.000  0.500  0.000
Te  0.233  0.713  0.980
Te  0.233  0.713  0.466
Te  0.261  0.282  0.521
Te  0.747  0.713  0.980
Te  0.253  0.287  0.020
Te  0.739  0.718  0.479
Te  0.767  0.287  0.534
Te  0.767  0.287  0.020

Record 2
Below is crystalline PrDySc2 at its relaxed geometry, with properties calculated at the PBE-GGA level.

Computed properties:
V ... 28.817 Å³/atom
Calculated density ... 5.67 g cm⁻³
Energy ... -21.8 eV for the cell shown
ΔE to the lowest computed polymorph ... 0.000 eV per formula unit
Space group ... No. 123
Formation energy ... 58 meV/atom

Lattice parameters (Å, degrees): 4.623 4.993 4.993 90.00 90.00 90.00
Fractional positions:
Pr  0.500  0.000  0.000
Sc  0.000  0.000  0.500
Sc  0.000  0.500  0.000
Dy  0.500  0.500  0.500

Record 3
Below is crystalline PmYTmLu at its relaxed geometry, with properties calculated at the PBE-GGA level.

Computed properties:
V ... 31.882 Å³/atom
Calculated density ... 7.52 g cm⁻³
Energy ... -19.8 eV for the cell shown
Space group ... No. 216
Formation energy ... 107 meV/atom

Lattice parameters (Å, degrees): 5.650 5.650 5.650 60.00 60.00 60.00
Fractional positions:
Y  0.750  0.750  0.750
Lu  0.500  0.500  0.500
Tm  0.000  0.000  0.000
Pm  0.250  0.250  0.250

Record 4
Below is crystalline SmDy5Er7 at its relaxed geometry, with properties calculated at the PBE-GGA level.

Computed properties:
V ... 32.391 Å³/atom
Calculated density ... 8.41 g cm⁻³
Energy ... -56.3 eV for the cell shown
ΔE to the lowest computed polymorph ... 0.031 eV per formula unit
Space group ... No. 44
Formation energy ... 258 meV/atom

Lattice parameters (Å, degrees): 6.648 8.628 8.628 79.52 67.34 67.34
Fractional positions:
Sm  0.033  0.967  0.967
Dy  0.465  0.996  0.540
Dy  0.999  0.996  0.540
Dy  0.465  0.540  0.996
Dy  0.999  0.540  0.996
Dy  0.732  0.768  0.768
Er  0.729  0.271  0.271
Er  0.424  0.576  0.576
Er  0.982  0.349  0.688
Er  0.982  0.688  0.349
Er  0.230  0.270  0.270
Er  0.481  0.850  0.189
Er  0.481  0.189  0.850

Record 5
Below is crystalline La7PrTm3 at its relaxed geometry, with properties calculated at the PBE-GGA level.

Computed properties:
V ... 36.205 Å³/atom
Calculated density ... 6.75 g cm⁻³
Energy ... -50.7 eV for the cell shown
ΔE to the lowest computed polymorph ... 0.544 eV per formula unit
Space group ... No. 156
Formation energy ... 178 meV/atom

Lattice parameters (Å, degrees): 8.609 7.309 7.309 120.00 90.00 90.00
Fractional positions:
La  0.097  0.164  0.836
La  0.097  0.164  0.327
La  0.132  0.667  0.333
La  0.468  0.836  0.164
La  0.468  0.328  0.164
La  0.468  0.836  0.672
La  0.097  0.673  0.836
Pr  0.437  0.333  0.667
Tm  0.783  0.500  0.500
Tm  0.783  0.500  0.000
Tm  0.783  0.000  0.500

Record 6
Below is crystalline Mg2ReIr at its relaxed geometry, with properties calculated at the PBE-GGA level.

Computed properties:
V ... 16.438 Å³/atom
Calculated density ... 10.78 g cm⁻³
Energy ... -24.2 eV for the cell shown
ΔE to the lowest computed polymorph ... 0.644 eV per formula unit
Space group ... No. 44
Formation energy ... 76 meV/atom

Lattice parameters (Å, degrees): 5.605 5.605 5.605 150.11 130.97 58.49
Fractional positions:
Ir  0.261  0.761  0.500
Mg  0.023  0.023  0.000
Mg  0.736  0.236  0.500
Re  0.479  0.479  0.000

Record 7
Below is crystalline Eu2HoTl at its relaxed geometry, with properties calculated at the PBE-GGA level.

Computed properties:
V ... 31.466 Å³/atom
Calculated density ... 8.88 g cm⁻³
Energy ... -28.1 eV for the cell shown
ΔE to the lowest computed polymorph ... 0.000 eV per formula unit
Space group ... No. 123
Formation energy ... -140 meV/atom

Lattice parameters (Å, degrees): 5.202 4.919 4.919 90.00 90.00 90.00
Each line ends with the local moment (μB).
Fractional positions:
Eu  0.000  0.000  0.500  6.88
Eu  0.000  0.500  0.000  6.88
Tl  0.500  0.000  0.000  -0.04
Ho  0.500  0.500  0.500  0.12

Record 8
Below is crystalline Sc2TaCd at its relaxed geometry, with properties calculated at the PBE-GGA level.

Computed properties:
V ... 21.330 Å³/atom
Calculated density ... 7.46 g cm⁻³
Energy ... -25.1 eV for the cell shown
Space group ... No. 99
Formation energy ... 71 meV/atom

Lattice parameters (Å, degrees): 2.998 2.998 9.494 90.00 90.00 90.05
Fractional positions:
Cd  0.500  0.500  0.742
Sc  0.000  0.000  0.989
Sc  0.500  0.500  0.271
Ta  0.000  0.000  0.498

Record 9
Below is crystalline KAsRuC2 at its relaxed geometry, with properties calculated at the PBE-GGA level.

Computed properties:
V ... 20.851 Å³/atom
Calculated density ... 3.81 g cm⁻³
Energy ... -24.5 eV for the cell shown
Space group ... No. 123
Formation energy ... 1802 meV/atom

Lattice parameters (Å, degrees): 4.041 6.384 4.041 90.00 90.00 90.00
Each line ends with the local moment (μB).
Fractional positions:
C  0.000  0.000  0.500  -0.06
C  0.500  0.000  0.000  -0.03
Ru  0.000  0.000  0.000  0.31
As  0.500  0.500  0.500  0.91
K  0.000  0.500  0.000  0.09

Record 10
Below is crystalline TaCuReTe2 at its relaxed geometry, with properties calculated at the PBE-GGA level.

Computed properties:
V ... 28.697 Å³/atom
Calculated density ... 7.94 g cm⁻³
Energy ... -27.4 eV for the cell shown
Space group ... No. 123
Uncorrected formation energy ... 1.458 eV per atom

Lattice parameters (Å, degrees): 5.363 4.989 5.363 90.00 90.00 90.00
Each line ends with the local moment (μB).
Fractional positions:
Re  0.000  0.500  0.000  2.31
Te  0.000  0.000  0.500  0.10
Te  0.500  0.000  0.000  0.13
Cu  0.500  0.500  0.500  0.01
Ta  0.000  0.000  0.000  -0.27

Record 11
Below is crystalline Ba2NiBTe at its relaxed geometry, with properties calculated at the PBE-GGA level.

Computed properties:
V ... 28.884 Å³/atom
Calculated density ... 5.42 g cm⁻³
Energy ... -21.5 eV for the cell shown
Space group ... No. 123
Uncorrected formation energy ... -0.404 eV per atom

Lattice parameters (Å, degrees): 6.012 3.996 6.012 90.00 90.00 90.00
Fractional positions:
Ni  0.000  0.000  0.000
B  0.000  0.500  0.000
Te  0.500  0.500  0.500
Ba  0.000  0.000  0.500
Ba  0.500  0.000  0.000

Record 12
Below is crystalline LiPmZrIr at its relaxed geometry, with properties calculated at the PBE-GGA level.

Computed properties:
V ... 20.245 Å³/atom
Calculated density ... 8.93 g cm⁻³
Energy ... -25.5 eV for the cell shown
Space group ... No. 216
Formation energy ... -354 meV/atom

Lattice parameters (Å, degrees): 4.856 4.856 4.856 60.00 60.00 60.00
Fractional positions:
Ir  0.500  0.500  0.500
Li  0.000  0.000  0.000
Zr  0.250  0.250  0.250
Pm  0.750  0.750  0.750